## TlMo2P (meta-GGA SCAN)

Data for a crystal of TlMo2P relaxed with PBEsol.

Calculated volume in Å³/atom: 17.83
Energy in eV/atom: -37.98
Energy relative to the lowest polymorph listed for this composition in eV/atom: 0.012
SG: C2/m
Energy relative to the elements in kJ/mol of atoms: 15

Cell lengths 5.9679, 3.3781, 7.6066 Å; angles 90.00, 111.53, 90.00 degrees
Closest atoms and distances in Å follow each position.
Atoms (fractional coordinates):
Tl 0.0000 0.0000 0.0000  4 Mo 2.94
Tl 0.5000 0.5000 0.0000  4 Mo 2.94
Mo 0.2482 0.0000 0.6703  3 P 2.31-2.32
Mo 0.2518 0.5000 0.3297  3 P 2.31-2.32
Mo 0.7482 0.5000 0.6703  3 P 2.31-2.32
Mo 0.7518 0.0000 0.3297  3 P 2.31-2.32
P 0.0000 0.5000 0.5000  6 Mo 2.31-2.32
P 0.5000 0.0000 0.5000  6 Mo 2.31-2.32